# 1
Density functional theory data (PBE-GGA) for crystalline V2CdAu at its relaxed geometry.

## Properties
excess energy over the best structure of this formula in the dataset	0	meV/atom
E_tot	-5.265	eV/atom

Cell: 4.598 4.598 4.598 Å, 60.00 60.00 60.00°
Each line ends with the local moment (μB).
Positions (direct):
Au 0.500 0.500 0.500  0.05
V 0.250 0.250 0.250  2.01
Cd 0.000 0.000 0.000  0.01
V 0.750 0.750 0.750  2.01

=====

# 2
Density functional theory data (PBE-GGA) for crystalline V2CdAu2 at its relaxed geometry.

## Properties
E_tot	-4.975	eV/atom

Cell: 3.460 3.460 7.758 Å, 77.11 77.11 90.00°
Positions (direct):
Cd 0.000 0.000 0.000
Au 0.604 0.604 0.792
V 0.750 0.250 0.500
Au 0.396 0.396 0.208
V 0.250 0.750 0.500

=====

- What is the formula in the second record?
  V2CdAu2

=====

- Among the records above, which one has the lowest E_tot?
  V2CdAu

=====

- Which formula does entry 1 have?
  V2CdAu